No. 1
The following is a GGA-PBE calculation of crystalline Ho2BeB2Ru5 at its relaxed geometry, from Alexandria.

abc: 9.390 9.390 3.087
angles: 90.00 90.00 90.00
Fractional coordinates of all 20 atoms:
Ho1 0.175 0.325 0.000
Ho2 0.325 0.825 0.000
Ho3 0.675 0.175 0.000
Ho4 0.825 0.675 0.000
Be1 0.000 0.000 0.000
Be2 0.500 0.500 0.000
B1 0.126 0.626 0.000
B2 0.374 0.126 0.000
B3 0.626 0.874 0.000
B4 0.874 0.374 0.000
Ru1 0.000 0.500 0.500
Ru2 0.068 0.792 0.500
Ru3 0.208 0.068 0.500
Ru4 0.292 0.568 0.500
Ru5 0.432 0.292 0.500
Ru6 0.500 0.000 0.500
Ru7 0.568 0.708 0.500
Ru8 0.708 0.432 0.500
Ru9 0.792 0.932 0.500
Ru10 0.932 0.208 0.500

Properties
calculated formation energy: -362 meV per atom
space-group type: No. 127



No. 2
The following is a GGA-PBE calculation of crystalline BeBI3 at its relaxed geometry, from Alexandria.

abc: 5.303 5.303 5.303
angles: 90.00 90.00 90.00
Fractional coordinates of all 5 atoms:
Be1 0.000 0.000 0.000
B1 0.500 0.500 0.500
I1 0.000 0.000 0.500
I2 0.000 0.500 0.000
I3 0.500 0.000 0.000

Properties
energy relative to the lowest polymorph listed for this composition: 0 meV per atom
ΔE_f (raw): 0.965 eV per atom
space-group type: No. 221



No. 3
The following is a GGA-PBE calculation of crystalline LaBe2BI at its relaxed geometry, from Alexandria.

abc: 5.717 5.717 4.830
angles: 90.00 90.00 90.00
Fractional coordinates of all 5 atoms:
La1 0.000 0.000 0.000
Be1 0.000 0.500 0.000
Be2 0.500 0.000 0.000
B1 0.000 0.000 0.500
I1 0.500 0.500 0.500

Properties
energy relative to the lowest polymorph listed for this composition: 192 meV per atom
ΔE_f (raw): 1.846 eV per atom
space-group type: No. 123



No. 4
The following is a GGA-PBE calculation of crystalline LaBe2BI at its relaxed geometry, from Alexandria.

abc: 4.589 4.589 6.023
angles: 90.00 90.00 90.00
Fractional coordinates of all 5 atoms:
La1 0.000 0.000 0.000
Be1 0.000 0.500 0.500
Be2 0.500 0.000 0.500
B1 0.500 0.500 0.000
I1 0.000 0.000 0.500

Properties
energy relative to the lowest polymorph listed for this composition: 0 meV per atom
ΔE_f (raw): 1.655 eV per atom
space-group type: No. 123



No. 5
The following is a GGA-PBE calculation of crystalline MnBeB2I at its relaxed geometry, from Alexandria.

abc: 3.784 3.784 5.455
angles: 90.00 90.00 90.00
Fractional coordinates of all 5 atoms:
Mn1 0.000 0.000 0.000
Be1 0.500 0.500 0.500
B1 0.000 0.500 0.000
B2 0.500 0.000 0.000
I1 0.000 0.000 0.500

Properties
ΔE_f (raw): 1.261 eV per atom
space-group type: No. 123



No. 6
The following is a GGA-PBE calculation of crystalline BeBI2N at its relaxed geometry, from Alexandria.

abc: 5.565 5.565 3.188
angles: 90.00 90.00 90.00
Fractional coordinates of all 5 atoms:
Be1 0.000 0.000 0.000
B1 0.500 0.500 0.500
I1 0.000 0.500 0.000
I2 0.500 0.000 0.000
N1 0.000 0.000 0.500

Properties
energy relative to the lowest polymorph listed for this composition: 734 meV per atom
ΔE_f (raw): 1.200 eV per atom
space-group type: No. 123



No. 7
The following is a GGA-PBE calculation of crystalline BeBI2N at its relaxed geometry, from Alexandria.

abc: 7.427 7.427 2.721
angles: 90.00 90.00 90.00
Fractional coordinates of all 5 atoms:
Be1 0.000 0.000 0.000
B1 0.500 0.500 0.500
I1 0.000 0.500 0.500
I2 0.500 0.000 0.500
N1 0.500 0.500 0.000

Properties
energy relative to the lowest polymorph listed for this composition: 0 meV per atom
ΔE_f (raw): 0.466 eV per atom
space-group type: No. 123



No. 8
The following is a GGA-PBE calculation of crystalline Na2BeBI at its relaxed geometry, from Alexandria.

abc: 5.686 5.686 3.647
angles: 90.00 90.00 90.00
Fractional coordinates of all 5 atoms:
Na1 0.000 0.500 0.000
Na2 0.500 0.000 0.000
Be1 0.000 0.000 0.000
B1 0.000 0.000 0.500
I1 0.500 0.500 0.500

Properties
ΔE_f (raw): 0.207 eV per atom
space-group type: No. 123



No. 9
The following is a GGA-PBE calculation of crystalline BeNbB2I at its relaxed geometry, from Alexandria.

abc: 4.358 4.358 5.075
angles: 90.00 90.00 90.00
Fractional coordinates of all 5 atoms:
Be1 0.000 0.000 0.000
Nb1 0.000 0.000 0.500
B1 0.000 0.500 0.500
B2 0.500 0.000 0.500
I1 0.500 0.500 0.000

Properties
ΔE_f (raw): 1.678 eV per atom
space-group type: No. 123



No. 10
The following is a GGA-PBE calculation of crystalline BeBIO2 at its relaxed geometry, from Alexandria.

abc: 3.283 3.283 6.430
angles: 90.00 90.00 90.00
Fractional coordinates of all 5 atoms:
Be1 0.000 0.000 0.000
B1 0.500 0.500 0.500
I1 0.500 0.500 0.000
O1 0.000 0.500 0.500
O2 0.500 0.000 0.500

Properties
energy relative to the lowest polymorph listed for this composition: 0 meV per atom
ΔE_f (raw): 0.073 eV per atom
space-group type: No. 123



No. 11
The following is a GGA-PBE calculation of crystalline BeBIO2 at its relaxed geometry, from Alexandria.

abc: 3.345 3.345 6.177
angles: 90.00 90.00 90.00
Fractional coordinates of all 5 atoms:
Be1 0.000 0.000 0.000
B1 0.500 0.500 0.500
I1 0.000 0.000 0.500
O1 0.000 0.500 0.000
O2 0.500 0.000 0.000

Properties
energy relative to the lowest polymorph listed for this composition: 145 meV per atom
ΔE_f (raw): 0.218 eV per atom
space-group type: No. 123



No. 12
The following is a GGA-PBE calculation of crystalline RbBeB2I at its relaxed geometry, from Alexandria.

abc: 4.351 4.351 7.442
angles: 90.00 90.00 90.00
Fractional coordinates of all 5 atoms:
Rb1 0.000 0.000 0.000
Be1 0.000 0.000 0.500
B1 0.000 0.500 0.500
B2 0.500 0.000 0.500
I1 0.500 0.500 0.000

Properties
ΔE_f (raw): 1.325 eV per atom
space-group type: No. 123



Please write out number 8 again, unchanged.
The following is a GGA-PBE calculation of crystalline Na2BeBI at its relaxed geometry, from Alexandria.

abc: 5.686 5.686 3.647
angles: 90.00 90.00 90.00
Fractional coordinates of all 5 atoms:
Na1 0.000 0.500 0.000
Na2 0.500 0.000 0.000
Be1 0.000 0.000 0.000
B1 0.000 0.000 0.500
I1 0.500 0.500 0.500

Properties
ΔE_f (raw): 0.207 eV per atom
space-group type: No. 123



What is the formula in the sixth record?
BeBI2N